1.
LiCa4Al2 GGA-PBE relaxed; formation energy = -0.7 eV per formula unit; DOS(E_F) = 8.75 states/eV/cell; electronic total energy = -18.1 eV per formula unit
1.0
2.673 1.543 8.646
-2.673 1.543 8.646
0.000 -3.087 8.646
Li Ca Al
1 4 2
Direct
0.000 0.000 0.000
0.128 0.128 0.128
0.379 0.379 0.379
0.621 0.621 0.621
0.872 0.872 0.872
0.255 0.255 0.255
0.745 0.745 0.745

***

2.
BiPPb GGA-PBE relaxed; formation energy = 0.5 eV per formula unit; DOS(E_F) = 1.80 states/eV/cell; electronic total energy = -12.5 eV per formula unit
1.0
3.795 0.000 0.000
-1.898 3.287 0.000
0.000 0.000 6.799
Bi P Pb
1 1 1
Direct
0.000 0.000 0.000
0.667 0.333 0.251
0.333 0.667 0.548

***

3.
CaLa2Cr GGA-PBE relaxed; formation energy = 1.1 eV per formula unit; DOS(E_F) = 4.54 states/eV/cell; electronic total energy = -20.4 eV per formula unit
1.0
3.791 0.000 0.000
0.000 3.791 0.000
0.000 0.000 9.313
Ca La Cr
1 2 1
Direct
0.000 0.000 0.000
0.500 0.500 0.310
0.500 0.500 0.690
0.000 0.000 0.500

***

4.
AcTePbAu GGA-PBE relaxed; DOS(E_F) = 11.85 states/eV/cell; electronic total energy = -16.9 eV per formula unit
1.0
7.809 0.000 0.000
0.000 7.809 0.000
0.000 0.000 7.809
Ac Te Pb Au
4 4 4 4
Direct
0.000 0.000 0.000
0.000 0.500 0.500
0.500 0.000 0.500
0.500 0.500 0.000
0.250 0.250 0.250
0.250 0.750 0.750
0.750 0.250 0.750
0.750 0.750 0.250
0.000 0.000 0.500
0.000 0.500 0.000
0.500 0.000 0.000
0.500 0.500 0.500
0.250 0.250 0.750
0.250 0.750 0.250
0.750 0.250 0.250
0.750 0.750 0.750

***

5.
Li2F3 GGA-PBE relaxed; DOS(E_F) = 8.81 states/eV/cell; electronic total energy = -20.7 eV per formula unit
1.0
-3.261 3.725 1.937
3.261 -3.725 1.937
3.261 3.725 -1.937
Li F
4 6
Direct
0.133 0.176 0.310
0.367 0.676 0.043
0.633 0.324 0.957
0.867 0.824 0.690
0.143 0.854 0.997
0.250 0.750 0.500
0.357 0.354 0.711
0.643 0.646 0.289
0.750 0.250 0.500
0.857 0.146 0.003

***

6.
LiCdRh4 GGA-PBE relaxed; formation energy = 0.4 eV per formula unit; DOS(E_F) = 10.47 states/eV/cell; electronic total energy = -31.9 eV per formula unit
1.0
0.000 3.659 3.659
3.659 0.000 3.659
3.659 3.659 0.000
Li Cd Rh
1 1 4
Direct
0.000 0.000 0.000
0.750 0.750 0.750
0.375 0.375 0.375
0.375 0.375 0.875
0.375 0.875 0.375
0.875 0.375 0.375

***

- Which of these has the highest DOS(E_F)?
  AcTePbAu